! MnPH2CO6, PBEsol geometry, DFT SCAN; values from VASP
&SYSTEM
  ibrav = 0, nat = 22, ntyp = 5
/
ATOMIC_SPECIES
O 16.00 O.upf
C 12.01 C.upf
H 1.01 H.upf
P 30.97 P.upf
Mn 54.94 Mn.upf
ATOMIC_POSITIONS crystal
O 0.747 0.389 0.551
C 0.557 0.099 0.000
O 0.402 0.751 0.849
H 0.182 0.635 0.810
H 0.182 0.825 0.190
P 0.000 0.670 0.340
O 0.402 0.902 0.151
O 0.253 0.611 0.449
O 0.990 0.183 0.783
P 0.000 0.330 0.660
O 0.010 0.817 0.217
O 0.598 0.098 0.849
O 0.253 0.162 0.551
O 0.747 0.838 0.449
C 0.443 0.901 0.000
Mn 0.500 0.806 0.612
Mn 0.500 0.194 0.388
O 0.990 0.400 0.217
H 0.818 0.175 0.810
O 0.598 0.249 0.151
O 0.010 0.600 0.783
H 0.818 0.365 0.190
CELL_PARAMETERS angstrom
5.478 0.001 0.000
2.215 5.558 0.000
-1.107 -2.779 7.469
! * density: 2.86 Mg/m³
! * raw total energy: -9.31 eV/atom

! AlInAg2Se4, PBEsol geometry, DFT SCAN; values from VASP
&SYSTEM
  ibrav = 0, nat = 8, ntyp = 4
/
ATOMIC_SPECIES
In 114.82 In.upf
Ag 107.87 Ag.upf
Al 26.98 Al.upf
Se 78.96 Se.upf
ATOMIC_POSITIONS crystal
In 0.000 0.000 0.000
Ag 0.250 0.750 0.500
Al 0.750 0.250 0.500
Se 0.104 0.603 0.736
Se 0.397 0.368 0.264
Se 0.632 0.133 0.736
Ag 0.500 0.500 0.000
Se 0.867 0.896 0.264
CELL_PARAMETERS angstrom
5.981 0.000 0.000
0.000 5.981 0.000
-2.991 -2.991 5.719
! * density: 5.47 Mg/m³
! * formation energy (no corrections): -588 meV per atom

! As2OsPt, PBEsol geometry, DFT SCAN; values from VASP
&SYSTEM
  ibrav = 0, nat = 4, ntyp = 3
/
ATOMIC_SPECIES
Pt 195.08 Pt.upf
As 74.92 As.upf
Os 190.23 Os.upf
ATOMIC_POSITIONS crystal
Pt 0.500 0.500 0.749
As 0.000 0.000 0.942
As 0.500 0.500 0.313
Os 0.000 0.000 0.496
CELL_PARAMETERS angstrom
2.971 0.000 0.000
0.000 2.971 0.000
0.000 0.000 7.698
! * density: 13.08 Mg/m³
! * energy above the most stable polymorph in this dataset: 0.0 meV per atom